(1)
# Pu2SbH

A relaxed structure of Pu2SbH (PBE, Alexandria via LeMat-Bulk).

Properties
- SG = Cmmm (65)
- N(E_F) (states/eV per cell) = 25.65
- E_tot (eV/cell) = -75.79
- offset from the most stable computed form (meV per atom) = 0

Cell and atoms, written as POSCAR:
```
Pu2SbH
1.0
-0.1094 0.2276 -4.2316
3.2986 -3.2681 -0.2611
-7.4263 -4.1839 -0.0331
H Sb Pu
2 2 4
Direct
0.5000 0.4447 0.8894 H
0.5000 0.5553 0.1106 H
0.0000 0.1469 0.2938 Sb
0.0000 0.8531 0.7062 Sb
0.5000 0.6875 0.3750 Pu
0.0000 0.5000 0.0000 Pu
0.5000 0.3125 0.6250 Pu
0.5000 0.0000 0.0000 Pu
```

***

(2)
# Pu5Sb2H

A relaxed structure of Pu5Sb2H (PBE, Alexandria via LeMat-Bulk).

Properties
- SG = I4mm (107)
- N(E_F) (states/eV per cell) = 28.89
- E_tot (eV/cell) = -85.77

Cell and atoms, written as POSCAR:
```
Pu5Sb2H
1.0
-3.8241 4.8443 -2.1873
-0.3490 -1.6787 6.3195
6.4596 1.0077 0.3657
Pu H Sb
5 1 2
Direct
0.5036 0.2524 0.2524 Pu
0.0000 0.2524 0.7488 Pu
0.0000 0.7488 0.2524 Pu
0.4964 0.7488 0.7488 Pu
0.0000 0.2434 0.2434 Pu
0.0000 0.9753 0.9753 H
0.5000 0.7504 0.2504 Sb
0.5000 0.2504 0.7504 Sb
```

***

(3)
# PuSb2H

A relaxed structure of PuSb2H (PBE, Alexandria via LeMat-Bulk).

Properties
- SG = R-3m (166)
- N(E_F) (states/eV per cell) = 14.23
- E_tot (eV/cell) = -25.12

Cell and atoms, written as POSCAR:
```
PuSb2H
1.0
-4.7194 1.1332 -0.0440
-3.3368 -3.4801 0.5596
-2.5307 0.1139 6.6676
H Sb Pu
1 2 1
Direct
0.0000 0.0000 0.0000 H
0.9014 0.9014 0.2957 Sb
0.0986 0.0986 0.7043 Sb
0.5000 0.5000 0.5000 Pu
```

***

(4)
# Pu2SbH3

A relaxed structure of Pu2SbH3 (PBE, Alexandria via LeMat-Bulk).

Properties
- SG = C2/m (12)
- N(E_F) (states/eV per cell) = 31.58
- E_tot (eV/cell) = -91.22

Cell and atoms, written as POSCAR:
```
Pu2SbH3
1.0
4.0487 0.0000 0.0000
-2.0244 6.9564 0.1299
0.0000 -2.9999 6.2503
H Pu Sb
6 4 2
Direct
0.4126 0.8251 0.4084 H
0.0048 0.0097 0.3570 H
0.5874 0.1749 0.5916 H
0.9952 0.9903 0.6430 H
0.6867 0.3734 0.4543 H
0.3133 0.6266 0.5457 H
0.1721 0.3442 0.6249 Pu
0.8279 0.6558 0.3751 Pu
0.4879 0.9759 0.7706 Pu
0.5121 0.0241 0.2294 Pu
0.1530 0.3059 0.0932 Sb
0.8470 0.6941 0.9068 Sb
```

***

Which value of N(E_F) does entry 2 give? 28.89 states/eV per cell